1.
This record from the Alexandria database describes crystalline Ca2N2F at its relaxed geometry. The functional is PBE.

```
Ca2N2F
1.0
-3.984 -0.416 0.852
-1.385 1.128 -5.923
2.795 -6.026 0.284
Ca N F
4 4 2
Cartesian
-0.653 -4.117 -1.633
0.043 -3.408 -4.891
-1.921 -1.198 -3.154
-2.617 -1.907 0.105
-0.171 -2.768 0.324
-2.712 -3.215 -1.935
-2.403 -2.546 -5.110
0.138 -2.099 -2.852
-3.285 0.612 -3.961
-2.084 0.101 -1.109
```

Properties
Its symmetry is C2/c (15). For the density of states at the Fermi level, the calculation gives 1.09 states/eV/f.u. The uncorrected formation energy comes out at -1.592 eV/atom.



2.
This record from the Alexandria database describes crystalline CaEuZnSbO6 at its relaxed geometry. The functional is PBE.

```
CaEuZnSbO6
1.0
2.956 2.300 4.233
-2.655 1.774 4.664
0.638 -2.816 4.859
Ca Eu Zn Sb O
1 1 1 1 6
Cartesian
0.704 0.943 10.317
0.235 0.314 3.439
0.470 0.629 6.878
0.000 0.000 0.000
-1.114 1.209 5.756
2.053 0.049 8.000
-0.791 -0.218 8.219
1.730 1.476 5.537
0.555 -1.118 5.854
0.384 2.375 7.901
```

Properties
Its symmetry is F-43m (216). For the density of states at the Fermi level, the calculation gives 9.46 states/eV/f.u. The uncorrected formation energy comes out at -1.970 eV/atom.



3.
This record from the Alexandria database describes crystalline SbPRh2 at its relaxed geometry. The functional is PBE.

```
SbPRh2
1.0
7.783 -1.563 0.005
7.783 1.563 0.005
7.468 0.000 2.693
Sb P Rh
1 1 2
Cartesian
11.517 0.000 1.351
0.000 0.000 0.000
16.947 0.000 1.988
6.088 0.000 0.714
```

Properties
Its symmetry is R-3m (166). As for the relative energy among the computed polymorphs: 19.05 kJ/mol of atoms. For the density of states at the Fermi level, the calculation gives 2.48 states/eV/f.u. The uncorrected formation energy comes out at -0.249 eV/atom.



4.
This record from the Alexandria database describes crystalline Li4Dy3AlS8 at its relaxed geometry. The functional is PBE.

```
Li4Dy3AlS8
1.0
7.645 0.000 0.000
0.000 7.571 -0.058
-3.822 -3.820 5.407
Li Dy Al S
4 3 1 8
Cartesian
3.822 0.000 0.000
1.911 -1.910 2.704
0.000 0.000 0.000
-1.911 -1.910 2.704
3.822 3.786 -0.029
1.911 1.876 2.674
-1.911 1.876 2.674
0.000 3.786 -0.029
1.773 5.588 -0.009
0.000 3.817 2.502
0.000 -0.033 2.677
5.872 5.588 -0.009
-2.050 -1.836 5.358
3.822 3.785 2.672
3.822 -0.065 2.847
2.050 -1.836 5.358
```

Properties
Its symmetry is R-3m (166). The uncorrected formation energy comes out at -1.646 eV/atom.



5.
This record from the Alexandria database describes crystalline Ba2AlNi at its relaxed geometry. The functional is PBE.

```
Ba2AlNi
1.0
-1.818 3.292 -5.210
-6.305 -0.224 -1.218
4.392 1.737 4.356
Ni Ba Al
1 2 1
Cartesian
-3.574 1.350 -2.828
-0.206 0.078 -0.163
-0.427 3.162 -1.783
-3.585 1.749 -0.511
```

Properties
Its symmetry is Imm2 (44). For the formation energy from the elements, the calculation gives -0.03 eV per atom. For the density of states at the Fermi level, the calculation gives 2.57 states/eV/f.u.



6.
This record from the Alexandria database describes crystalline BaSbPCl2 at its relaxed geometry. The functional is PBE.

```
BaSbPCl2
1.0
5.659 0.000 0.000
0.000 5.659 0.000
0.000 0.000 6.477
Sb Ba P Cl
1 1 1 2
Cartesian
2.829 2.829 3.239
0.000 0.000 0.000
0.000 0.000 3.239
0.000 2.829 0.000
2.829 0.000 0.000
```

Properties
Its symmetry is P4/mmm (123). As for the relative energy among the computed polymorphs: 70.13 kJ/mol of atoms. For the density of states at the Fermi level, the calculation gives 7.16 states/eV/f.u. The uncorrected formation energy comes out at -0.101 eV/atom.